K2Tl GGA-PBE optimized geometry; space-group type = Pa-3 (205); crystal system = cubic; ΔE to the lowest computed polymorph = 161 meV per atom; total moment = 0.00 μB/cell
1.0
-7.6262 0.6953 4.2130
3.3448 -4.3877 6.7788
2.6543 7.5270 3.5624
K Tl
8 4
direct
0.8532 0.1468 0.3532 K
0.3532 0.1468 0.1468 K
0.3532 0.3532 0.6468 K
0.1468 0.8532 0.6468 K
0.6468 0.6468 0.3532 K
0.1468 0.6468 0.1468 K
0.6468 0.8532 0.8532 K
0.8532 0.3532 0.8532 K
0.5000 0.5000 0.0000 Tl
0.5000 0.0000 0.5000 Tl
0.0000 0.0000 0.0000 Tl
0.0000 0.5000 0.5000 Tl